Density functional theory data (GGA-PBE) for a relaxed structure of TcPdRu2.

Calculated values
The value obtained for the uncorrected energy is -7.8907 eV per atom. Its density of states at the Fermi level is 1.60 states/eV/atom. Its spin magnetization is 0.00 Bohr magnetons per cell.

a b c (Å): 6.957 6.957 5.605
angles (deg): 51.64 51.64 90.00
Positions (direct):
Ru  0.587  0.125  0.250
Ru  0.163  0.625  0.250
Ru  0.375  0.413  0.750
Ru  0.875  0.837  0.750
Tc  0.500  0.500  0.000
Tc  0.250  0.750  0.500
Pd  0.000  0.000  0.000
Pd  0.750  0.250  0.500